Record 1
Density functional theory data (PBE) for a geometry-optimized Cs3Tl9Sn2 structure.

Cell lengths 5.5410, 10.1918, 10.1918 Å; angles 75.93, 74.23, 74.23 degrees
With the nearest neighbours (Å) after each atom.
Atoms (fractional coordinates):
Sn: 0.5000 0.3074 0.6926  6 Tl 3.20-3.37
Sn: 0.5000 0.6926 0.3074  6 Tl 3.20-3.37
Tl: 0.8752 0.4052 0.8443  4 Tl 3.29-3.33, 2 Sn 3.37
Tl: 0.0000 0.5000 0.5000  4 Tl 3.33, 4 Sn 3.68
Tl: 0.6650 0.6875 0.9825  1 Sn 3.20, 3 Tl 3.29-3.30
Tl: 0.3350 0.0175 0.3125  1 Sn 3.20, 3 Tl 3.29-3.30
Tl: 0.6650 0.9825 0.6875  1 Sn 3.20, 3 Tl 3.29-3.30
Tl: 0.1248 0.1557 0.5948  4 Tl 3.29-3.33, 2 Sn 3.37
Tl: 0.1248 0.5948 0.1557  4 Tl 3.29-3.33, 2 Sn 3.37
Tl: 0.3350 0.3125 0.0175  1 Sn 3.20, 3 Tl 3.29-3.30
Tl: 0.8752 0.8443 0.4052  4 Tl 3.29-3.33, 2 Sn 3.37
Cs: 0.0000 0.0000 0.0000  12 Tl 3.99-4.16
Cs: 0.2989 0.7011 0.7011  2 Sn 3.88, 10 Tl 3.90-4.11
Cs: 0.7011 0.2989 0.2989  2 Sn 3.88, 10 Tl 3.90-4.11

Calculated values
Its energy relative to the elements is -59 meV per atom. As for the theoretical density: 7.8 g cm⁻³. For the final energy, the calculation gives -2.335 eV per atom. The value obtained for the density of states at the Fermi level is 0.631 states/eV/atom.

***

Record 2
Density functional theory data (PBE) for a geometry-optimized Y2ErIr structure.

Cell lengths 6.4128, 7.2154, 9.2746 Å; angles 90.00, 90.00, 90.00 degrees
With the nearest neighbours (Å) after each atom.
Atoms (fractional coordinates):
Y: 0.8235 0.3229 0.9375  2 Ir 2.88-2.94
Y: 0.8235 0.3229 0.5625  2 Ir 2.88-2.94
Y: 0.3235 0.1771 0.0625  2 Ir 2.88-2.94
Y: 0.6765 0.8229 0.9375  2 Ir 2.88-2.94
Y: 0.1765 0.6771 0.4375  2 Ir 2.88-2.94
Y: 0.1765 0.6771 0.0625  2 Ir 2.88-2.94
Y: 0.6765 0.8229 0.5625  2 Ir 2.88-2.94
Y: 0.3235 0.1771 0.4375  2 Ir 2.88-2.94
Ir: 0.0372 0.3841 0.2500  2 Er 2.74-2.82, 4 Y 2.88-2.94
Ir: 0.5372 0.1159 0.7500  2 Er 2.74-2.82, 4 Y 2.88-2.94
Ir: 0.9628 0.6159 0.7500  2 Er 2.74-2.82, 4 Y 2.88-2.94
Ir: 0.4628 0.8841 0.2500  2 Er 2.74-2.82, 4 Y 2.88-2.94
Er: 0.8679 0.0359 0.2500  2 Ir 2.74-2.82
Er: 0.1321 0.9641 0.7500  2 Ir 2.74-2.82
Er: 0.3679 0.4641 0.7500  2 Ir 2.74-2.82
Er: 0.6321 0.5359 0.2500  2 Ir 2.74-2.82

Calculated values
Its energy relative to the elements is -579 meV per atom. As for the theoretical density: 8.3 g cm⁻³. For the final energy, the calculation gives -7.167 eV per atom. The value obtained for the density of states at the Fermi level is 1.041 states/eV/atom. The energy above the most stable polymorph in this dataset is 0 meV/atom.